Material: SmTh2As3
Method: DFT, GGA-PBE
State: optimized geometry

Unit cell a=4.237 b=5.994 c=12.741 alpha=90.00 beta=90.00 gamma=90.00
Positions (direct):
Sm  0.000  0.000  0.000
Sm  0.500  0.500  0.500
Th  0.000  0.000  0.334
Th  0.000  0.000  0.666
Th  0.500  0.500  0.166
Th  0.500  0.500  0.834
As  0.000  0.500  0.000
As  0.000  0.500  0.334
As  0.000  0.500  0.666
As  0.500  0.000  0.166
As  0.500  0.000  0.500
As  0.500  0.000  0.834

Properties
- ΔH_f (0 K): -841.2 kJ/mol of formula units
- Spin magnetization: 0.00 μB per cell

=====

Material: Sm3Th5As8
Method: DFT, GGA-PBE
State: optimized geometry

Unit cell a=8.471 b=8.471 c=8.471 alpha=60.11 beta=60.11 gamma=60.11
Positions (direct):
Sm  0.000  0.500  0.500
Sm  0.500  0.000  0.500
Sm  0.500  0.500  0.000
Th  0.000  0.000  0.000
Th  0.000  0.000  0.500
Th  0.000  0.500  0.000
Th  0.500  0.000  0.000
Th  0.500  0.500  0.500
As  0.250  0.250  0.250
As  0.250  0.250  0.749
As  0.250  0.749  0.250
As  0.251  0.750  0.750
As  0.749  0.250  0.250
As  0.750  0.251  0.750
As  0.750  0.750  0.251
As  0.750  0.750  0.750

Properties
- ΔH_f (0 K): -2249.1 kJ/mol of formula units
- Spin magnetization: 0.00 μB per cell

=====

Material: Sm2TmThAs4
Method: DFT, GGA-PBE
State: optimized geometry

Unit cell a=7.240 b=4.196 c=7.267 alpha=90.00 beta=109.46 gamma=90.00
Positions (direct):
Sm  0.000  0.000  0.000
Sm  0.500  0.500  0.000
Tm  0.000  0.500  0.500
Th  0.500  0.000  0.500
As  0.244  0.000  0.744
As  0.246  0.500  0.252
As  0.754  0.500  0.748
As  0.756  0.000  0.256

Properties
- ΔH_f (0 K): -1160.4 kJ/mol of formula units
- Spin magnetization: 0.00 μB per cell

=====

Material: SmTm2ThAs4
Method: DFT, GGA-PBE
State: optimized geometry

Unit cell a=7.165 b=4.159 c=7.194 alpha=90.00 beta=109.51 gamma=90.00
Positions (direct):
Sm  0.000  0.000  0.000
Tm  0.500  0.000  0.500
Tm  0.500  0.500  0.000
Th  0.000  0.500  0.500
As  0.260  0.500  0.253
As  0.261  0.000  0.754
As  0.739  0.000  0.246
As  0.740  0.500  0.747

Properties
- ΔH_f (0 K): -1154.5 kJ/mol of formula units
- Spin magnetization: 0.00 μB per cell

=====

Material: SmTmTh2As4
Method: DFT, GGA-PBE
State: optimized geometry

Unit cell a=7.238 b=4.210 c=7.294 alpha=90.00 beta=109.68 gamma=90.00
Positions (direct):
Sm  0.000  0.000  0.000
Tm  0.000  0.500  0.500
Th  0.500  0.000  0.500
Th  0.500  0.500  0.000
As  0.242  0.000  0.743
As  0.245  0.500  0.252
As  0.755  0.500  0.748
As  0.758  0.000  0.257

Properties
- ΔH_f (0 K): -1123.4 kJ/mol of formula units
- Spin magnetization: 0.00 μB per cell

=====

Material: Sm2TmTh3As6
Method: DFT, GGA-PBE
State: optimized geometry

Unit cell a=9.409 b=9.409 c=8.396 alpha=102.62 beta=102.62 gamma=25.92
Positions (direct):
Sm  0.166  0.166  0.333
Sm  0.834  0.834  0.667
Tm  0.500  0.500  0.000
Th  0.167  0.167  0.834
Th  0.500  0.500  0.500
Th  0.833  0.833  0.166
As  0.000  0.000  0.242
As  0.000  0.000  0.758
As  0.333  0.333  0.417
As  0.336  0.336  0.917
As  0.664  0.664  0.083
As  0.667  0.667  0.583

Properties
- ΔH_f (0 K): -1694.5 kJ/mol of formula units
- Spin magnetization: 0.00 μB per cell

=====

Material: Sm3YTh4As8
Method: DFT, GGA-PBE
State: optimized geometry

Unit cell a=8.430 b=8.430 c=8.430 alpha=60.28 beta=60.28 gamma=60.28
Positions (direct):
Sm  0.000  0.500  0.500
Sm  0.500  0.000  0.500
Sm  0.500  0.500  0.000
Y  0.000  0.000  0.000
Th  0.000  0.000  0.500
Th  0.000  0.500  0.000
Th  0.500  0.000  0.000
Th  0.500  0.500  0.500
As  0.248  0.248  0.751
As  0.248  0.751  0.248
As  0.249  0.752  0.752
As  0.250  0.250  0.250
As  0.750  0.750  0.750
As  0.751  0.248  0.248
As  0.752  0.249  0.752
As  0.752  0.752  0.249

Properties
- ΔH_f (0 K): -2280.0 kJ/mol of formula units
- Spin magnetization: 0.00 μB per cell

=====

Material: Sm2YThAs4
Method: DFT, GGA-PBE
State: optimized geometry

Unit cell a=7.269 b=4.210 c=7.286 alpha=90.00 beta=109.45 gamma=90.00
Positions (direct):
Sm  0.000  0.000  0.000
Sm  0.500  0.500  0.000
Y  0.000  0.500  0.500
Th  0.500  0.000  0.500
As  0.247  0.000  0.746
As  0.248  0.500  0.251
As  0.752  0.500  0.749
As  0.753  0.000  0.254

Properties
- ΔH_f (0 K): -1175.8 kJ/mol of formula units
- Spin magnetization: 0.00 μB per cell

=====

Material: SmTiAs2
Method: DFT, GGA-PBE
State: optimized geometry

Unit cell a=3.860 b=3.860 c=20.179 alpha=90.00 beta=90.00 gamma=120.00
Positions (direct):
Sm  0.000  0.000  0.000
Sm  0.333  0.667  0.667
Sm  0.667  0.333  0.333
Ti  0.000  0.000  0.826
Ti  0.333  0.667  0.493
Ti  0.667  0.333  0.159
As  0.000  0.000  0.234
As  0.000  0.000  0.427
As  0.333  0.667  0.093
As  0.333  0.667  0.901
As  0.667  0.333  0.567
As  0.667  0.333  0.760

Properties
- Energy above the lowest structure with this stoichiometry: 74.9 meV/atom
- ΔH_f (0 K): -408.8 kJ/mol of formula units
- Spin magnetization: 0.00 μB per cell

=====

Material: SmTiAs2
Method: DFT, GGA-PBE
State: optimized geometry

Unit cell a=3.925 b=3.925 c=19.327 alpha=90.00 beta=90.00 gamma=120.00
Positions (direct):
Sm  0.000  0.000  0.000
Sm  0.333  0.667  0.667
Sm  0.667  0.333  0.333
Ti  0.000  0.000  0.500
Ti  0.333  0.667  0.167
Ti  0.667  0.333  0.833
As  0.000  0.000  0.238
As  0.000  0.000  0.762
As  0.333  0.667  0.429
As  0.333  0.667  0.905
As  0.667  0.333  0.095
As  0.667  0.333  0.571

Properties
- Energy above the lowest structure with this stoichiometry: 0.0 meV/atom
- ΔH_f (0 K): -437.7 kJ/mol of formula units
- Spin magnetization: 0.00 μB per cell

=====

Material: SmTiAs
Method: DFT, GGA-PBE
State: optimized geometry

Unit cell a=4.032 b=4.032 c=7.819 alpha=90.00 beta=90.00 gamma=90.00
Positions (direct):
Sm  0.250  0.250  0.149
Sm  0.750  0.750  0.851
Ti  0.250  0.750  0.500
Ti  0.750  0.250  0.500
As  0.250  0.250  0.734
As  0.750  0.750  0.266

Properties
- ΔH_f (0 K): -282.0 kJ/mol of formula units
- Spin magnetization: 0.35 μB per cell

=====

Material: SmTlAs2
Method: DFT, GGA-PBE
State: optimized geometry

Unit cell a=4.631 b=4.631 c=23.326 alpha=90.00 beta=90.00 gamma=120.00
Positions (direct):
Sm  0.000  0.000  0.000
Sm  0.333  0.667  0.667
Sm  0.667  0.333  0.333
Tl  0.000  0.000  0.500
Tl  0.333  0.667  0.167
Tl  0.667  0.333  0.833
As  0.000  0.000  0.391
As  0.000  0.000  0.609
As  0.333  0.667  0.058
As  0.333  0.667  0.276
As  0.667  0.333  0.724
As  0.667  0.333  0.942

Properties
- ΔH_f (0 K): -131.5 kJ/mol of formula units
- Spin magnetization: 0.00 μB per cell